Record 1
# PBE-GGA Cd2HgPd2, optimized geometry
data_Cd2HgPd2
_space_group_name_H-M_alt 'P 1'
_space_group_IT_number 1
_space_group_name_Hall 'P 1'
_cell_length_a 3.9227
_cell_length_b 3.9227
_cell_length_c 13.7571
_cell_angle_alpha 90.00
_cell_angle_beta 90.00
_cell_angle_gamma 90.00
loop_
_atom_site_label
_atom_site_type_symbol
_atom_site_fract_x
_atom_site_fract_y
_atom_site_fract_z
_atom_site_occupancy
Cd1 Cd 0.0000 0.0000 0.1070 1
Cd2 Cd 0.0000 0.0000 0.8930 1
Cd3 Cd 0.5000 0.5000 0.3930 1
Cd4 Cd 0.5000 0.5000 0.6070 1
Hg1 Hg 0.0000 0.0000 0.5000 1
Hg2 Hg 0.5000 0.5000 0.0000 1
Pd1 Pd 0.0000 0.5000 0.2500 1
Pd2 Pd 0.0000 0.5000 0.7500 1
Pd3 Pd 0.5000 0.0000 0.2500 1
Pd4 Pd 0.5000 0.0000 0.7500 1
# DOS(E_F): 4.04 states/eV per cell
# distance to the lowest polymorph of the same formula: 236 meV/atom
# magnetic moment: 0.00 μB per cell


Record 2
# PBE-GGA K3AcTm2Te6, optimized geometry
data_K3AcTm2Te6
_space_group_name_H-M_alt 'P 1'
_space_group_IT_number 1
_space_group_name_Hall 'P 1'
_cell_length_a 7.9479
_cell_length_b 7.9479
_cell_length_c 8.6777
_cell_angle_alpha 98.83
_cell_angle_beta 98.83
_cell_angle_gamma 120.02
loop_
_atom_site_label
_atom_site_type_symbol
_atom_site_fract_x
_atom_site_fract_y
_atom_site_fract_z
_atom_site_occupancy
K1 K 0.0000 0.0000 0.0000 1
K2 K 0.3385 0.6615 0.0000 1
K3 K 0.6615 0.3385 0.0000 1
Ac1 Ac 0.5000 0.5000 0.5000 1
Tm1 Tm 0.1674 0.8326 0.5000 1
Tm2 Tm 0.8326 0.1674 0.5000 1
Te1 Te 0.0749 0.4293 0.2890 1
Te2 Te 0.2156 0.2156 0.7099 1
Te3 Te 0.4293 0.0749 0.2890 1
Te4 Te 0.5707 0.9251 0.7110 1
Te5 Te 0.7844 0.7844 0.2901 1
Te6 Te 0.9251 0.5707 0.7110 1
# DOS(E_F): 0.00 states/eV per cell
# magnetic moment: 0.00 μB per cell
# E_form (uncorrected): -1.401 eV/atom


Record 3
# PBE-GGA Ce3ThRh, optimized geometry
data_Ce3ThRh
_space_group_name_H-M_alt 'P 1'
_space_group_IT_number 1
_space_group_name_Hall 'P 1'
_cell_length_a 6.2210
_cell_length_b 5.4097
_cell_length_c 7.7083
_cell_angle_alpha 90.00
_cell_angle_beta 97.26
_cell_angle_gamma 90.00
loop_
_atom_site_label
_atom_site_type_symbol
_atom_site_fract_x
_atom_site_fract_y
_atom_site_fract_z
_atom_site_occupancy
Ce1 Ce 0.1230 0.2500 0.3283 1
Ce2 Ce 0.2436 0.7500 0.0742 1
Ce3 Ce 0.3149 0.7500 0.4489 1
Ce4 Ce 0.6851 0.2500 0.5511 1
Ce5 Ce 0.7564 0.2500 0.9258 1
Ce6 Ce 0.8770 0.7500 0.6717 1
Th1 Th 0.2533 0.2500 0.7749 1
Th2 Th 0.7467 0.7500 0.2251 1
Rh1 Rh 0.4817 0.7500 0.8068 1
Rh2 Rh 0.5183 0.2500 0.1932 1
# DOS(E_F): 23.17 states/eV per cell
# magnetic moment: 0.01 μB per cell
# electronic total energy: -6.753 eV per atom


Record 4
# PBE-GGA Tb2CeEr6Tm3, optimized geometry
data_Tb2CeEr6Tm3
_space_group_name_H-M_alt 'P 1'
_space_group_IT_number 1
_space_group_name_Hall 'P 1'
_cell_length_a 6.0864
_cell_length_b 6.0864
_cell_length_c 11.6385
_cell_angle_alpha 95.01
_cell_angle_beta 95.01
_cell_angle_gamma 119.96
loop_
_atom_site_label
_atom_site_type_symbol
_atom_site_fract_x
_atom_site_fract_y
_atom_site_fract_z
_atom_site_occupancy
Tb1 Tb 0.1666 0.8334 0.0000 1
Tb2 Tb 0.8334 0.1666 0.0000 1
Ce1 Ce 0.5000 0.5000 0.0000 1
Er1 Er 0.0845 0.4156 0.7485 1
Er2 Er 0.2531 0.2531 0.2519 1
Er3 Er 0.4156 0.0845 0.7485 1
Er4 Er 0.5844 0.9155 0.2515 1
Er5 Er 0.7469 0.7469 0.7481 1
Er6 Er 0.9155 0.5844 0.2515 1
Tm1 Tm 0.0000 0.0000 0.5000 1
Tm2 Tm 0.3327 0.6673 0.5000 1
Tm3 Tm 0.6673 0.3327 0.5000 1
# DOS(E_F): 19.81 states/eV per cell
# magnetic moment: 1.06 μB per cell
# electronic total energy: -4.626 eV per atom


Record 5
# PBE-GGA Ce5AgPt2, optimized geometry
data_Ce5AgPt2
_space_group_name_H-M_alt 'P 1'
_space_group_IT_number 1
_space_group_name_Hall 'P 1'
_cell_length_a 5.7524
_cell_length_b 5.7524
_cell_length_c 16.2049
_cell_angle_alpha 90.00
_cell_angle_beta 90.00
_cell_angle_gamma 132.01
loop_
_atom_site_label
_atom_site_type_symbol
_atom_site_fract_x
_atom_site_fract_y
_atom_site_fract_z
_atom_site_occupancy
Ce1 Ce 0.0713 0.9287 0.5706 1
Ce2 Ce 0.0713 0.9287 0.9294 1
Ce3 Ce 0.2855 0.7145 0.2500 1
Ce4 Ce 0.4129 0.5871 0.6062 1
Ce5 Ce 0.4129 0.5871 0.8938 1
Ce6 Ce 0.5871 0.4129 0.1062 1
Ce7 Ce 0.5871 0.4129 0.3938 1
Ce8 Ce 0.7145 0.2855 0.7500 1
Ce9 Ce 0.9287 0.0713 0.0706 1
Ce10 Ce 0.9287 0.0713 0.4294 1
Ag1 Ag 0.0048 0.9952 0.7500 1
Ag2 Ag 0.9952 0.0048 0.2500 1
Pt1 Pt 0.2568 0.7432 0.0714 1
Pt2 Pt 0.2568 0.7432 0.4286 1
Pt3 Pt 0.7432 0.2568 0.5714 1
Pt4 Pt 0.7432 0.2568 0.9286 1
# DOS(E_F): 41.52 states/eV per cell
# magnetic moment: 3.42 μB per cell
# electronic total energy: -6.096 eV per atom


Record 6
# PBE-GGA Nd3HgRh3, optimized geometry
data_Nd3HgRh3
_space_group_name_H-M_alt 'P 1'
_space_group_IT_number 1
_space_group_name_Hall 'P 1'
_cell_length_a 9.1151
_cell_length_b 9.1151
_cell_length_c 4.6386
_cell_angle_alpha 90.00
_cell_angle_beta 90.00
_cell_angle_gamma 120.00
loop_
_atom_site_label
_atom_site_type_symbol
_atom_site_fract_x
_atom_site_fract_y
_atom_site_fract_z
_atom_site_occupancy
Nd1 Nd 0.0738 0.6767 0.2500 1
Nd2 Nd 0.3233 0.3970 0.2500 1
Nd3 Nd 0.3970 0.0738 0.7500 1
Nd4 Nd 0.6030 0.9262 0.2500 1
Nd5 Nd 0.6767 0.6030 0.7500 1
Nd6 Nd 0.9262 0.3233 0.7500 1
Hg1 Hg 0.3333 0.6667 0.7500 1
Hg2 Hg 0.6667 0.3333 0.2500 1
Rh1 Rh 0.0318 0.8410 0.7500 1
Rh2 Rh 0.1590 0.1909 0.7500 1
Rh3 Rh 0.1909 0.0318 0.2500 1
Rh4 Rh 0.8091 0.9682 0.7500 1
Rh5 Rh 0.8410 0.8091 0.2500 1
Rh6 Rh 0.9682 0.1590 0.2500 1
# DOS(E_F): 10.61 states/eV per cell
# magnetic moment: 0.00 μB per cell
# electronic total energy: -5.729 eV per atom


Record 7
# PBE-GGA TbSc2Te, optimized geometry
data_TbSc2Te
_space_group_name_H-M_alt 'P 1'
_space_group_IT_number 1
_space_group_name_Hall 'P 1'
_cell_length_a 3.7473
_cell_length_b 3.7473
_cell_length_c 7.2126
_cell_angle_alpha 90.00
_cell_angle_beta 90.00
_cell_angle_gamma 90.00
loop_
_atom_site_label
_atom_site_type_symbol
_atom_site_fract_x
_atom_site_fract_y
_atom_site_fract_z
_atom_site_occupancy
Tb1 Tb 0.0000 0.0000 0.0000 1
Sc1 Sc 0.5000 0.5000 0.2782 1
Sc2 Sc 0.5000 0.5000 0.7218 1
Te1 Te 0.0000 0.0000 0.5000 1
# DOS(E_F): 5.64 states/eV per cell
# distance to the lowest polymorph of the same formula: 149 meV/atom
# magnetic moment: 0.00 μB per cell
# E_form (uncorrected): -0.492 eV/atom


Record 8
# PBE-GGA BaCa2In, optimized geometry
data_BaCa2In
_space_group_name_H-M_alt 'P 1'
_space_group_IT_number 1
_space_group_name_Hall 'P 1'
_cell_length_a 7.4703
_cell_length_b 12.5707
_cell_length_c 3.8213
_cell_angle_alpha 90.00
_cell_angle_beta 118.76
_cell_angle_gamma 90.00
loop_
_atom_site_label
_atom_site_type_symbol
_atom_site_fract_x
_atom_site_fract_y
_atom_site_fract_z
_atom_site_occupancy
Ba1 Ba 0.0000 0.0000 0.0000 1
Ba2 Ba 0.5000 0.5000 0.0000 1
Ca1 Ca 0.2500 0.2500 0.5000 1
Ca2 Ca 0.2500 0.7500 0.5000 1
Ca3 Ca 0.7500 0.2500 0.5000 1
Ca4 Ca 0.7500 0.7500 0.5000 1
In1 In 0.0000 0.5000 0.0000 1
In2 In 0.5000 0.0000 0.0000 1
# DOS(E_F): 10.27 states/eV per cell
# magnetic moment: 0.01 μB per cell
# electronic total energy: -2.224 eV per atom


Record 9
# PBE-GGA InH3Ru, optimized geometry
data_InH3Ru
_space_group_name_H-M_alt 'P 1'
_space_group_IT_number 1
_space_group_name_Hall 'P 1'
_cell_length_a 4.9996
_cell_length_b 4.9969
_cell_length_c 3.2615
_cell_angle_alpha 71.00
_cell_angle_beta 70.91
_cell_angle_gamma 38.08
loop_
_atom_site_label
_atom_site_type_symbol
_atom_site_fract_x
_atom_site_fract_y
_atom_site_fract_z
_atom_site_occupancy
In1 In 0.0000 0.0000 0.0000 1
H1 H 0.2772 0.2772 0.2228 1
H2 H 0.4985 0.4985 0.5015 1
H3 H 0.7772 0.7772 0.7228 1
Ru1 Ru 0.6901 0.6901 0.3099 1
# DOS(E_F): 0.06 states/eV per cell
# magnetic moment: 0.00 μB per cell
# electronic total energy: -4.410 eV per atom


Record 10
# PBE-GGA CdHgBrN2, optimized geometry
data_CdHgBrN2
_space_group_name_H-M_alt 'P 1'
_space_group_IT_number 1
_space_group_name_Hall 'P 1'
_cell_length_a 4.4703
_cell_length_b 4.4703
_cell_length_c 6.0748
_cell_angle_alpha 90.00
_cell_angle_beta 90.00
_cell_angle_gamma 90.00
loop_
_atom_site_label
_atom_site_type_symbol
_atom_site_fract_x
_atom_site_fract_y
_atom_site_fract_z
_atom_site_occupancy
Cd1 Cd 0.0000 0.0000 0.0000 1
Hg1 Hg 0.5000 0.5000 0.5000 1
Br1 Br 0.0000 0.0000 0.5000 1
N1 N 0.0000 0.5000 0.0000 1
N2 N 0.5000 0.0000 0.0000 1
# DOS(E_F): 2.78 states/eV per cell
# magnetic moment: 3.73 μB per cell
# E_form (uncorrected): 1.456 eV/atom